No. 1
# Li3TlRu | Alexandria via LeMat-Bulk | SCAN | single point on PBEsol structure
# VASP energy = -21.992 eV/atom
# N(E_F) = 1.94 states/eV/f.u.
# energy of formation from the pure elements = 4.4 eV per formula unit
data_Li3TlRu
_chemical_formula_sum 'Li3 Tl1 Ru1'
_space_group_name_H-M_alt 'P m -3 m'
_space_group_IT_number 221
_space_group_name_Hall '-P 4 2 3'
_cell_length_a 4.687
_cell_length_b 4.687
_cell_length_c 4.687
_cell_angle_alpha 90.00
_cell_angle_beta 90.00
_cell_angle_gamma 90.00
loop_
_atom_site_label
_atom_site_type_symbol
_atom_site_fract_x
_atom_site_fract_y
_atom_site_fract_z
Li1 Li 0.000 0.000 0.500
Tl1 Tl 0.000 0.000 0.000
Ru1 Ru 0.500 0.500 0.500

No. 2
# LiTm2Ru | Alexandria via LeMat-Bulk | SCAN | single point on PBEsol structure
# VASP energy = -35.625 eV/atom
# N(E_F) = 2.33 states/eV/f.u.
# energy of formation from the pure elements = -1.6 eV per formula unit
data_LiTm2Ru
_chemical_formula_sum 'Li4 Tm8 Ru4'
_space_group_name_H-M_alt 'F m -3 m'
_space_group_IT_number 225
_space_group_name_Hall '-F 4 2 3'
_cell_length_a 6.745
_cell_length_b 6.745
_cell_length_c 6.745
_cell_angle_alpha 90.00
_cell_angle_beta 90.00
_cell_angle_gamma 90.00
loop_
_atom_site_label
_atom_site_type_symbol
_atom_site_fract_x
_atom_site_fract_y
_atom_site_fract_z
Li1 Li 0.000 0.000 0.000
Tm1 Tm 0.250 0.250 0.250
Ru1 Ru 0.000 0.000 0.500

No. 3
# Li2RuW | Alexandria via LeMat-Bulk | SCAN | single point on PBEsol structure
# VASP energy = -27.024 eV/atom
# N(E_F) = 1.68 states/eV/f.u.
# energy of formation from the pure elements = 1.2 eV per formula unit
data_Li2RuW
_chemical_formula_sum 'Li4 Ru2 W2'
_space_group_name_H-M_alt 'I 4/m m m'
_space_group_IT_number 139
_space_group_name_Hall '-I 4 2'
_cell_length_a 3.512
_cell_length_b 3.512
_cell_length_c 9.141
_cell_angle_alpha 90.00
_cell_angle_beta 90.00
_cell_angle_gamma 90.00
loop_
_atom_site_label
_atom_site_type_symbol
_atom_site_fract_x
_atom_site_fract_y
_atom_site_fract_z
Li1 Li 0.000 0.500 0.250
Ru1 Ru 0.000 0.000 0.000
W1 W 0.000 0.000 0.500

No. 4
# Li2RuW | Alexandria via LeMat-Bulk | SCAN | single point on PBEsol structure
# VASP energy = -27.065 eV/atom
# N(E_F) = 2.10 states/eV/f.u.
# energy of formation from the pure elements = 1.0 eV per formula unit
data_Li2RuW
_chemical_formula_sum 'Li2 Ru1 W1'
_space_group_name_H-M_alt 'P m m m'
_space_group_IT_number 47
_space_group_name_Hall '-P 2 2'
_cell_length_a 3.017
_cell_length_b 4.025
_cell_length_c 4.643
_cell_angle_alpha 90.00
_cell_angle_beta 90.00
_cell_angle_gamma 90.00
loop_
_atom_site_label
_atom_site_type_symbol
_atom_site_fract_x
_atom_site_fract_y
_atom_site_fract_z
Li1 Li 0.000 0.000 0.000
Li2 Li 0.500 0.500 0.000
Ru1 Ru 0.000 0.500 0.500
W1 W 0.500 0.000 0.500

N(E_F) of number 1 (Li3TlRu)?
1.94 states/eV/f.u.